(1)
GGA-PBE Ac2In3Sn3, relaxed; SG = Pmmm; E above lowest polymorph = 6 meV per atom; total magnetic moment = 0.000 μB/atom; energy of formation from the pure elements = -0.462 eV/atom
1.0
4.880 0.000 0.000
0.000 4.998 0.000
0.000 0.000 9.738
Ac In Sn
2 3 3
Cartesian
0.000 0.000 2.412
0.000 0.000 7.325
0.000 2.499 4.869
2.440 2.499 2.484
2.440 2.499 7.254
0.000 2.499 0.000
2.440 0.000 0.000
2.440 0.000 4.869

---

(2)
GGA-PBE AcIn2Sn2, relaxed; SG = C2/m; E above lowest polymorph = 15 meV per atom; total magnetic moment = 0.000 μB/atom; energy of formation from the pure elements = -0.305 eV/atom
1.0
4.618 -2.607 0.000
4.618 2.607 0.000
-3.142 0.000 6.231
Ac In Sn
1 2 2
Cartesian
0.000 0.000 0.000
-0.028 0.000 3.803
6.122 0.000 2.429
3.059 0.000 1.650
3.035 0.000 4.581